[1]
## Sb2PtSCl (PBE)

Data for a geometry-optimized Sb2PtSCl structure.

Structure (CIF):
```
data_Sb2PtSCl
_chemical_formula_sum 'Sb2 Pt1 S1 Cl1'
_cell_length_a 5.372
_cell_length_b 5.372
_cell_length_c 4.645
_cell_angle_alpha 90.00
_cell_angle_beta 90.00
_cell_angle_gamma 90.00
_symmetry_space_group_name_H-M 'P 4/m m m'
_symmetry_Int_Tables_number 123
_symmetry_space_group_name_Hall '-P 4 2'
loop_
_atom_site_label
_atom_site_type_symbol
_atom_site_fract_x
_atom_site_fract_y
_atom_site_fract_z
Sb1 Sb 0.000 0.500 0.000
Pt1 Pt 0.000 0.000 0.000
S1 S 0.000 0.000 0.500
Cl1 Cl 0.500 0.500 0.500
```

Values from the calculation:
- E_tot: -3.7466 eV per atom
- DOS(E_F): 5.5 states/eV per cell
- Magnetic moment: 0.00 μB per formula unit


[2]
## SbPtSCl2 (PBE)

Data for a geometry-optimized SbPtSCl2 structure.

Structure (CIF):
```
data_SbPtSCl2
_chemical_formula_sum 'Sb1 Pt1 S1 Cl2'
_cell_length_a 4.823
_cell_length_b 4.823
_cell_length_c 4.805
_cell_angle_alpha 90.00
_cell_angle_beta 90.00
_cell_angle_gamma 90.00
_symmetry_space_group_name_H-M 'P 4/m m m'
_symmetry_Int_Tables_number 123
_symmetry_space_group_name_Hall '-P 4 2'
loop_
_atom_site_label
_atom_site_type_symbol
_atom_site_fract_x
_atom_site_fract_y
_atom_site_fract_z
Sb1 Sb 0.000 0.000 0.000
Pt1 Pt 0.500 0.500 0.500
S1 S 0.500 0.500 0.000
Cl1 Cl 0.000 0.500 0.500
```

Values from the calculation:
- Energy above the most stable polymorph in this dataset: 0.000 eV per atom
- E_tot: -3.4378 eV per atom
- DOS(E_F): 1.9 states/eV per cell
- Magnetic moment: 0.00 μB per formula unit


[3]
## ScPtS2Cl (PBE)

Data for a geometry-optimized ScPtS2Cl structure.

Structure (CIF):
```
data_ScPtS2Cl
_chemical_formula_sum 'Sc1 Pt1 S2 Cl1'
_cell_length_a 4.754
_cell_length_b 4.754
_cell_length_c 4.711
_cell_angle_alpha 90.00
_cell_angle_beta 90.00
_cell_angle_gamma 90.00
_symmetry_space_group_name_H-M 'P 4/m m m'
_symmetry_Int_Tables_number 123
_symmetry_space_group_name_Hall '-P 4 2'
loop_
_atom_site_label
_atom_site_type_symbol
_atom_site_fract_x
_atom_site_fract_y
_atom_site_fract_z
Sc1 Sc 0.000 0.000 0.000
Pt1 Pt 0.500 0.500 0.500
S1 S 0.000 0.500 0.500
Cl1 Cl 0.500 0.500 0.000
```

Values from the calculation:
- Energy above the most stable polymorph in this dataset: 0.000 eV per atom
- E_tot: -4.7326 eV per atom
- DOS(E_F): 3.3 states/eV per cell
- Magnetic moment: 0.28 μB per formula unit